! BeFe3B, relaxed, DFT PBE; values from VASP
! - E (eV per atom) = -7.007
! - D(E_F) (states/eV/f.u.) = 3.48
! - relative energy among the computed polymorphs (eV per atom) = 0.118
! - E_form (eV/atom) = 0.1509
! - spin magnetization (μB/atom) = 1.008
&SYSTEM
  ibrav = 0, nat = 5, ntyp = 3
/
ATOMIC_SPECIES
B 10.81 B.upf
Fe 55.84 Fe.upf
Be 9.01 Be.upf
CELL_PARAMETERS angstrom
3.765 0.000 0.000
0.000 3.765 0.000
0.000 0.000 3.765
ATOMIC_POSITIONS crystal
B 0.000 0.000 0.000
Fe 0.000 0.500 0.000
Fe 0.500 0.000 0.000
Fe 0.000 0.000 0.500
Be 0.500 0.500 0.500